DFT (GGA-PBEsol) results for Li2CaHg after structural relaxation.

The formation energy from the elements comes out at -0.29 eV/atom. The value obtained for the total energy is -1.944 eV per atom. The space group is P4mm.

a = 3.628 Å, b = 3.628 Å, c = 7.021 Å
α = 90.00°, β = 90.00°, γ = 90.00°
Atoms (fractional coordinates):
Hg  0.000  0.000  0.793
Ca  0.500  0.500  0.529
Li  0.500  0.500  0.985
Li  0.000  0.000  0.193

DFT (GGA-PBEsol) results for TaMnBe2 after structural relaxation.

The formation energy from the elements comes out at 0.44 eV/atom. The value obtained for the total energy is -7.143 eV per atom. The space group is R3m.

a = 2.636 Å, b = 2.636 Å, c = 8.257 Å
α = 80.82°, β = 80.82°, γ = 60.00°
Atoms (fractional coordinates):
Ta  0.251  0.251  0.246
Be  0.749  0.749  0.752
Mn  0.491  0.491  0.528
Be  0.009  0.009  0.974

DFT (GGA-PBEsol) results for SiHgOs2 after structural relaxation.

As for the formation energy from raw total energies: 627 meV per atom. The value obtained for the total energy is -7.060 eV per atom. The space group is P4/mmm.

a = 3.091 Å, b = 4.370 Å, c = 4.370 Å
α = 90.00°, β = 90.00°, γ = 90.00°
Atoms (fractional coordinates):
Si  0.500  0.500  0.500
Os  0.000  0.500  0.000
Os  0.000  0.000  0.500
Hg  0.500  0.000  0.000

DFT (GGA-PBEsol) results for KCo2O4 after structural relaxation.

As for the formation energy from raw total energies: -1291 meV per atom. The value obtained for the total energy is -6.663 eV per atom. The space group is Pmmn.

a = 4.871 Å, b = 5.619 Å, c = 12.316 Å
α = 90.00°, β = 90.00°, γ = 90.00°
Atoms (fractional coordinates):
Co  0.500  0.250  0.750
O  0.834  0.749  0.172
K  0.366  0.500  0.500
Co  0.500  0.750  0.750
O  0.332  0.000  0.827
O  0.668  0.500  0.673
O  0.166  0.751  0.672
O  0.166  0.751  0.328
O  0.834  0.251  0.172
K  0.042  0.500  0.000
O  0.666  0.000  0.325
O  0.334  0.500  0.175
Co  0.000  0.500  0.252
Co  0.500  0.750  0.250
Co  0.000  0.500  0.748
K  0.634  0.000  0.000
Co  0.500  0.250  0.250
Co  0.000  0.000  0.248
O  0.834  0.749  0.828
O  0.668  0.500  0.327
O  0.666  0.000  0.675
Co  0.000  0.000  0.752
O  0.166  0.249  0.328
K  0.958  0.000  0.500
O  0.332  0.000  0.173
O  0.834  0.251  0.828
O  0.166  0.249  0.672
O  0.334  0.500  0.825